No. 1
# Mg2InAs

A geometry-optimized Mg2InAs structure (PBE, Alexandria via LeMat-Bulk).

Summary:
Energy above the most stable polymorph in this dataset   94 meV/atom
ΔE_f   -0.1826 eV per atom

abc: 3.388 3.674 6.976
angles: 90.00 91.69 90.00
Space group P2/m (No. 10)
One atom of each set of equivalent atoms:
1 Mg 0.002 0.000 0.285
2 In 0.500 0.500 0.000
3 As 0.500 0.500 0.500

***

No. 2
# Ac6InSi

A geometry-optimized Ac6InSi structure (PBE, Alexandria via LeMat-Bulk).

Summary:
ΔE_f (raw)   -0.0328 eV per atom

abc: 7.814 12.921 7.478
angles: 90.00 114.64 90.00
Space group C2/m (No. 12)
One atom of each set of equivalent atoms:
1 Ac 0.212 0.189 0.246
2 Ac 0.236 0.000 0.766
3 In 0.000 0.500 0.500
4 Si 0.000 0.000 0.000

***

No. 3
# Mg2GeH2

A geometry-optimized Mg2GeH2 structure (PBE, Alexandria via LeMat-Bulk).

Summary:
Energy above the most stable polymorph in this dataset   210 meV/atom

abc: 6.492 6.492 3.421
angles: 90.00 90.00 90.00
Space group P4/mbm (No. 127)
One atom of each set of equivalent atoms:
1 Mg 0.219 0.281 0.000
2 Ge 0.000 0.000 0.500
3 H 0.043 0.543 0.500

***

No. 4
# MgBeI2N

A geometry-optimized MgBeI2N structure (PBE, Alexandria via LeMat-Bulk).

Summary:
Energy above the most stable polymorph in this dataset   0 meV/atom
ΔE_f (raw)   0.2288 eV per atom

abc: 5.927 5.927 3.237
angles: 90.00 90.00 90.00
Space group P4/mmm (No. 123)
One atom of each set of equivalent atoms:
1 Mg 0.000 0.000 0.000
2 Be 0.500 0.500 0.500
3 I 0.000 0.500 0.500
4 N 0.500 0.500 0.000

***

No. 5
# RbPmZnS3

A geometry-optimized RbPmZnS3 structure (PBE, Alexandria via LeMat-Bulk).

Summary:
ΔE_f (raw)   -1.4653 eV per atom

abc: 9.176 4.095 9.710
angles: 90.00 107.74 90.00
Space group P2_1/m (No. 11)
One atom of each set of equivalent atoms:
1 Rb 0.204 0.250 0.232
2 Pm 0.333 0.750 0.855
3 Zn 0.082 0.250 0.608
4 S 0.118 0.250 0.854
5 S 0.184 0.750 0.535
6 S 0.461 0.750 0.153

***

No. 6
# TbY3Th2

A geometry-optimized TbY3Th2 structure (PBE, Alexandria via LeMat-Bulk).

Summary:
Energy above the most stable polymorph in this dataset   150 meV/atom
ΔE_f   0.1799 eV per atom

abc: 6.974 17.396 6.528
angles: 90.00 90.00 90.00
Space group Cmcm (No. 63)
One atom of each set of equivalent atoms:
1 Tb 0.000 0.146 0.250
2 Y 0.000 0.353 0.750
3 Y 0.250 0.177 0.750
4 Th 0.250 0.000 0.000

***

No. 7
# K2CaSn10

A geometry-optimized K2CaSn10 structure (PBE, Alexandria via LeMat-Bulk).

Summary:
ΔE_f   -0.0707 eV per atom

abc: 8.747 18.340 6.317
angles: 90.00 90.00 90.00
Space group Pbam (No. 55)
One atom of each set of equivalent atoms:
1 K 0.220 0.174 0.000
2 Ca 0.000 0.500 0.500
3 Sn 0.024 0.828 0.500
4 Sn 0.028 0.669 0.500
5 Sn 0.158 0.026 0.500
6 Sn 0.234 0.390 0.233

***

No. 8
# LaTcAg2

A geometry-optimized LaTcAg2 structure (PBE, Alexandria via LeMat-Bulk).

Summary:
Energy above the most stable polymorph in this dataset   96 meV/atom
ΔE_f   0.3083 eV per atom

abc: 10.068 3.338 5.443
angles: 90.00 114.56 90.00
Space group Cm (No. 8)
One atom of each set of equivalent atoms:
1 La 0.000 0.000 0.000
2 Tc 0.235 0.500 0.079
3 Ag 0.208 0.000 0.620
4 Ag 0.448 0.000 0.465

***

No. 9
# Ba2LaTa

A geometry-optimized Ba2LaTa structure (PBE, Alexandria via LeMat-Bulk).

Summary:
Energy above the most stable polymorph in this dataset   359 meV/atom
ΔE_f   0.9655 eV per atom

abc: 6.937 11.580 3.464
angles: 90.00 90.15 90.00
Space group C2/m (No. 12)
One atom of each set of equivalent atoms:
1 Ba 0.250 0.250 0.000
2 La 0.000 0.000 0.500
3 Ta 0.000 0.500 0.500

***

No. 10
# LaRu

A geometry-optimized LaRu structure (PBE, Alexandria via LeMat-Bulk).

Summary:
ΔE_f   0.1887 eV per atom

abc: 8.132 8.132 8.132
angles: 90.00 90.00 90.00
Space group I-43m (No. 217)
One atom of each set of equivalent atoms:
1 La 0.212 0.212 0.788
2 Ru 0.123 0.123 0.123

***

No. 11
# NaAgPb2Se

A geometry-optimized NaAgPb2Se structure (PBE, Alexandria via LeMat-Bulk).

Summary:
ΔE_f (raw)   0.1665 eV per atom

abc: 5.931 5.931 4.938
angles: 90.00 90.00 90.00
Space group P4/mmm (No. 123)
One atom of each set of equivalent atoms:
1 Na 0.000 0.000 0.000
2 Ag 0.500 0.500 0.000
3 Pb 0.000 0.500 0.500
4 Se 0.500 0.500 0.500

***

No. 12
# NbAsSe2

A geometry-optimized NbAsSe2 structure (PBE, Alexandria via LeMat-Bulk).

Summary:
ΔE_f (raw)   0.3830 eV per atom

abc: 3.5029 3.5029 25.3364
angles: 90.00 90.00 120.00
Space group R-3m (No. 166, hexagonal axes)
One atom of each set of equivalent atoms:
1 Nb 0.0000 0.0000 0.0000
2 As 0.0000 0.0000 0.5000
3 Se 0.0000 0.0000 0.0985

***

Raw total energy (eV per formula unit)
-11.31 -33.07 -14.09 -15.60 -28.17 -37.78 -45.14 -19.76 -16.76 -13.83 -14.24 -20.16